Run i
## KLi3Fe (PBE)

Data for a relaxed structure of KLi3Fe.

Structure (POSCAR):
```
KLi3Fe
1.0
-4.200 -2.627 1.714
2.483 -4.535 -0.866
1.917 0.118 4.877
K Li Fe
1 3 1
Cartesian
0.100 -3.522 2.863 K
-2.100 -1.313 0.857 Li
1.241 -2.267 -0.433 Li
0.958 0.059 2.439 Li
0.000 0.000 0.000 Fe
```

Results
calculated density	1.33	g/cm³
density of states at the Fermi level	3.935	states/eV/f.u.

***

Run ii
## KLi3Fe (PBE)

Data for a relaxed structure of KLi3Fe.

Structure (POSCAR):
```
KLi3Fe
1.0
-4.610 1.685 0.313
-1.590 -3.872 -2.583
-0.639 -2.522 4.174
K Li Fe
1 3 1
Cartesian
0.000 0.000 0.000 K
-0.319 -1.261 2.087 Li
-2.305 0.842 0.156 Li
-0.795 -1.936 -1.291 Li
-3.420 -2.355 0.952 Fe
```

Results
calculated density	1.62	g/cm³
density of states at the Fermi level	10.724	states/eV/f.u.

***

Among the structures above, stability is smallest for run ii.